Record 1
Compound: DyCu4Rh2
Source: Alexandria via LeMat-Bulk
Functional: PBE-GGA
Structure: optimized geometry

```
data_DyCu4Rh2
_chemical_formula_sum 'Dy2 Cu8 Rh4'
_cell_length_a 8.178
_cell_length_b 6.369
_cell_length_c 5.158
_cell_angle_alpha 90.00
_cell_angle_beta 129.01
_cell_angle_gamma 90.00
_symmetry_space_group_name_H-M 'C 1 2/m 1'
_symmetry_Int_Tables_number 12
_symmetry_space_group_name_Hall '-C 2y'
loop_
_atom_site_label
_atom_site_type_symbol
_atom_site_fract_x
_atom_site_fract_y
_atom_site_fract_z
Dy1 Dy 0.000 0.000 0.000
Cu1 Cu 0.193 0.192 0.691
Rh1 Rh 0.002 0.500 0.752
```

- DOS(E_F) (states/eV/cell) = 12.05
- energy of formation (eV/atom) = -0.23
- total magnetic moment (Bohr magnetons per cell) = 0.00

=====

Record 2
Compound: GeAsPW2
Source: Alexandria via LeMat-Bulk
Functional: PBE-GGA
Structure: optimized geometry

```
data_GeAsPW2
_chemical_formula_sum 'Ge1 As1 P1 W2'
_cell_length_a 4.742
_cell_length_b 4.742
_cell_length_c 4.585
_cell_angle_alpha 90.00
_cell_angle_beta 90.00
_cell_angle_gamma 90.00
_symmetry_space_group_name_H-M 'P 4/m m m'
_symmetry_Int_Tables_number 123
_symmetry_space_group_name_Hall '-P 4 2'
loop_
_atom_site_label
_atom_site_type_symbol
_atom_site_fract_x
_atom_site_fract_y
_atom_site_fract_z
Ge1 Ge 0.000 0.000 0.000
As1 As 0.000 0.000 0.500
P1 P 0.500 0.500 0.500
W1 W 0.000 0.500 0.000
```

- DOS(E_F) (states/eV/cell) = 5.09
- energy of formation (eV/atom) = 1.94
- total magnetic moment (Bohr magnetons per cell) = 1.32

=====

> Which of these has the lowest total magnetic moment?

DyCu4Rh2

=====

> Which value of total magnetic moment does entry 2 give?

1.32 Bohr magnetons per cell

=====

Please write out number 2 again, unchanged.
Compound: GeAsPW2
Source: Alexandria via LeMat-Bulk
Functional: PBE-GGA
Structure: optimized geometry

```
data_GeAsPW2
_chemical_formula_sum 'Ge1 As1 P1 W2'
_cell_length_a 4.742
_cell_length_b 4.742
_cell_length_c 4.585
_cell_angle_alpha 90.00
_cell_angle_beta 90.00
_cell_angle_gamma 90.00
_symmetry_space_group_name_H-M 'P 4/m m m'
_symmetry_Int_Tables_number 123
_symmetry_space_group_name_Hall '-P 4 2'
loop_
_atom_site_label
_atom_site_type_symbol
_atom_site_fract_x
_atom_site_fract_y
_atom_site_fract_z
Ge1 Ge 0.000 0.000 0.000
As1 As 0.000 0.000 0.500
P1 P 0.500 0.500 0.500
W1 W 0.000 0.500 0.000
```

- DOS(E_F) (states/eV/cell) = 5.09
- energy of formation (eV/atom) = 1.94
- total magnetic moment (Bohr magnetons per cell) = 1.32

=====

> Among the records above, which one has the lowest total magnetic moment?

DyCu4Rh2